[1]
The following is a PBE calculation of crystalline PmRe4Si2 at its relaxed geometry, from the Open Quantum Materials Database.

Output
Crystal system   orthorhombic

Cell: 7.2942 7.2942 4.1053 Å, 90.00 90.00 146.99°
Sites, in units of the cell vectors:
Pm (0.0000, 0.0000, 0.0000)
Re (0.1888, 0.8112, 0.5000)
Re (0.3042, 0.6958, 0.0000)
Re (0.6958, 0.3042, 0.0000)
Re (0.8112, 0.1888, 0.5000)
Si (0.4119, 0.5881, 0.5000)
Si (0.5881, 0.4119, 0.5000)

---

[2]
The following is a PBE calculation of crystalline PmSmRe at its relaxed geometry, from the Open Quantum Materials Database.

Output
Crystal system   cubic

Cell: 4.8371 4.8371 4.8371 Å, 60.00 60.00 60.00°
Sites, in units of the cell vectors:
Pm (0.0000, 0.0000, 0.0000)
Sm (0.2500, 0.2500, 0.2500)
Re (0.5000, 0.5000, 0.5000)

---

[3]
The following is a PBE calculation of crystalline Pm5Re3Tc at its relaxed geometry, from the Open Quantum Materials Database.

Output
Crystal system   hexagonal

Cell: 8.3830 8.3830 3.4165 Å, 90.00 90.00 120.00°
Sites, in units of the cell vectors:
Pm (0.0000, 0.2875, 0.0000)
Pm (0.2875, 0.0000, 0.0000)
Pm (0.3333, 0.6667, 0.0000)
Pm (0.6667, 0.3333, 0.0000)
Pm (0.7125, 0.7125, 0.0000)
Re (0.0000, 0.6869, 0.5000)
Re (0.3131, 0.3131, 0.5000)
Re (0.6869, 0.0000, 0.5000)
Tc (0.0000, 0.0000, 0.5000)

---

[4]
The following is a PBE calculation of crystalline PmTlRe at its relaxed geometry, from the Open Quantum Materials Database.

Output
Crystal system   cubic

Cell: 4.8024 4.8024 4.8024 Å, 60.00 60.00 60.00°
Sites, in units of the cell vectors:
Pm (0.0000, 0.0000, 0.0000)
Tl (0.2500, 0.2500, 0.2500)
Re (0.5000, 0.5000, 0.5000)

---

[5]
The following is a PBE calculation of crystalline PmURe at its relaxed geometry, from the Open Quantum Materials Database.

Output
Crystal system   cubic

Cell: 4.7893 4.7893 4.7893 Å, 60.00 60.00 60.00°
Sites, in units of the cell vectors:
Pm (0.0000, 0.0000, 0.0000)
U (0.5000, 0.5000, 0.5000)
Re (0.7500, 0.7500, 0.7500)

---

[6]
The following is a PBE calculation of crystalline PmReW at its relaxed geometry, from the Open Quantum Materials Database.

Output
Crystal system   cubic

Cell: 4.5392 4.5392 4.5392 Å, 60.00 60.00 60.00°
Sites, in units of the cell vectors:
Pm (0.0000, 0.0000, 0.0000)
Re (0.5000, 0.5000, 0.5000)
W (0.2500, 0.2500, 0.2500)

---

Number 1: calculated total energy -9.759 eV per atom. Number 2: calculated total energy -6.135 eV per atom. Number 3: calculated total energy -7.312 eV per atom. Number 4: calculated total energy -5.508 eV per atom. Number 5: calculated total energy -8.886 eV per atom. Number 6: calculated total energy -9.112 eV per atom.